Entry 1:
First-principles (PBE) data for a relaxed structure of Er2Tm2Tl, as listed in the Alexandria database.

Cell lengths 6.2969, 6.2969, 8.4617 Å; angles 107.44, 107.44, 98.48 degrees
Atoms (fractional coordinates):
Er  0.1201  0.7518  0.7830
Er  0.2482  0.8799  0.2170
Er  0.7518  0.1201  0.7830
Er  0.8799  0.2482  0.2170
Tm  0.2235  0.2235  0.6179
Tm  0.3381  0.3381  0.0712
Tm  0.6619  0.6619  0.9288
Tm  0.7765  0.7765  0.3821
Tl  0.3344  0.6656  0.5000
Tl  0.6656  0.3344  0.5000

DFT formation energy: -36 meV per atom
Density of states at the Fermi level: 5.67 states/eV/f.u.
ρ: 9.9 g/cm³
Polymorph energy (0 for the lowest one): 0.0 kJ per mole of atoms
Volume: 295 Å³ per cell
Calculated total energy: -4.1231 eV per atom

Entry 2:
First-principles (PBE) data for a relaxed structure of SiSb3Os, as listed in the Alexandria database.

Cell lengths 5.1334, 5.1334, 5.1334 Å; angles 90.00, 90.00, 90.00 degrees
Atoms (fractional coordinates):
Si  0.0000  0.0000  0.0000
Sb  0.0000  0.5000  0.5000
Sb  0.5000  0.0000  0.5000
Sb  0.5000  0.5000  0.0000
Os  0.5000  0.5000  0.5000

Density of states at the Fermi level: 5.07 states/eV/f.u.
ΔE_f (raw): 89 kJ/mol of atoms
ρ: 7.2 g/cm³
Polymorph energy (0 for the lowest one): 0.0 kJ per mole of atoms
Volume: 135 Å³ per cell
Calculated total energy: -4.8800 eV per atom

Entry 3:
First-principles (PBE) data for a relaxed structure of Nd5Ho2Tm5, as listed in the Alexandria database.

Cell lengths 8.0071, 8.0071, 11.3172 Å; angles 115.19, 115.19, 36.74 degrees
Atoms (fractional coordinates):
Nd  0.0000  0.0000  0.0000
Nd  0.0818  0.0818  0.7491
Nd  0.2489  0.2489  0.2500
Nd  0.7511  0.7511  0.7500
Nd  0.9182  0.9182  0.2509
Ho  0.1663  0.1663  0.4987
Ho  0.8337  0.8337  0.5013
Tm  0.3327  0.3327  0.9999
Tm  0.4157  0.4157  0.7475
Tm  0.5000  0.5000  0.5000
Tm  0.5843  0.5843  0.2525
Tm  0.6673  0.6673  0.0001

DFT formation energy: 21 meV per atom
Density of states at the Fermi level: 16.48 states/eV/f.u.
ρ: 8.1 g/cm³
Volume: 388 Å³ per cell
Calculated total energy: -4.5918 eV per atom

> What is the volume in the second record?

135 Å³ per cell